(1)
TaCdSb4: optimized geometry, PBE.

Cell and atoms, written as POSCAR:
```
TaCdSb4
1.0
4.6553 3.1957 2.2611
-1.0594 5.0202 3.2669
1.0574 0.0100 5.9899
Ta Cd Sb
1 1 4
Cartesian
3.4900 6.1694 8.6385
0.0000 0.0000 0.0000
4.0627 4.6793 5.4516
2.2740 3.0955 7.3053
1.2217 5.5864 5.9516
1.7483 3.0906 4.3274
```

Calculated values
* space-group type: No. 216
* DFT total energy: -4.03 eV per atom

(2)
TaCdSb: optimized geometry, PBE.

Cell and atoms, written as POSCAR:
```
TaCdSb
1.0
-0.5790 5.4750 5.6725
-4.1967 3.1048 5.9360
3.3670 -5.6296 -4.4113
Sb Cd Ta
1 1 1
Cartesian
-1.4623 2.6271 3.5545
-0.1380 0.2480 0.3355
-3.1754 5.7047 7.7185
```

Calculated values
* space-group type: No. 107
* E above lowest polymorph: 0.043 eV per atom

(3)
TaCdSb2: optimized geometry, PBE.

Cell and atoms, written as POSCAR:
```
TaCdSb2
1.0
-1.1587 -1.8296 2.8239
4.2439 -3.1902 -0.3256
2.4254 2.9311 2.8941
Sb Cd Ta
2 1 1
Cartesian
0.0000 0.0000 0.0000
1.5426 -2.5099 1.2491
3.3347 -0.1296 1.2842
0.6334 0.5507 2.8590
```

Calculated values
* space-group type: No. 47
* E above lowest polymorph: 0.400 eV per atom

(4)
TaCdSb2: optimized geometry, PBE.

Cell and atoms, written as POSCAR:
```
TaCdSb2
1.0
-2.0022 -1.9188 1.4092
-0.6958 -2.3464 -4.1835
4.5146 -3.7269 1.3395
Sb Cd Ta
2 1 1
Cartesian
4.3295 -3.5741 1.2846
-0.0124 -3.2360 -0.9905
2.1407 -5.0135 -0.3517
2.1306 -1.7589 0.6322
```

Calculated values
* space-group type: No. 25
* E above lowest polymorph: 0.216 eV per atom

(5)
Ta2CdSb: optimized geometry, PBE.

Cell and atoms, written as POSCAR:
```
Ta2CdSb
1.0
3.6233 0.0000 0.0000
0.0000 4.7365 0.0000
0.0000 0.0000 4.6082
Sb Cd Ta
1 1 2
Cartesian
0.0000 2.3682 2.3041
1.8117 0.0000 2.3041
0.0000 0.0000 0.0000
1.8117 2.3682 0.0000
```

Calculated values
* space-group type: No. 47
* E above lowest polymorph: 0.186 eV per atom

(6)
TaCdSb2: optimized geometry, PBE.

Cell and atoms, written as POSCAR:
```
TaCdSb2
1.0
-1.0836 -3.1071 -1.5744
0.8934 -1.8437 3.0235
-5.4001 -0.8913 5.4756
Sb Cd Ta
2 1 1
Cartesian
0.7075 -1.8163 3.0975
-2.0674 -1.3949 4.1756
-3.9218 -3.6048 5.5871
-1.6685 -2.2373 1.3375
```

Calculated values
* space-group type: No. 10
* E above lowest polymorph: 0.000 eV per atom